Ag SCAN PBEsol geometry; polymorph energy (0 for the lowest one) = 36 meV/atom; space group = No. 229; M_tot = 0.000 μB per formula unit; final energy = -31.33 eV/atom; formation enthalpy at 0 K = 0.04 eV/atom
1.0
-2.361 -0.295 -2.167
-0.198 -3.147 0.645
-2.177 0.608 2.291
Ag
2
Cartesian
-1.184 -0.708 0.192
-3.552 -2.125 0.577